[1]
# TmZr7Al4 | Alexandria via LeMat-Bulk | PBE | optimized geometry
# E_form, kJ per mole of atoms: -19.0
# Uncorrected energy, Ry/atom: -0.500
# Magnetic moment, μB per formula unit: 0.0
# V, Å³ per atom: 21.38
data_TmZr7Al4
_chemical_formula_sum 'Tm1 Zr7 Al4'
_space_group_name_H-M_alt 'P -1'
_space_group_IT_number 2
_cell_length_a 5.673
_cell_length_b 5.973
_cell_length_c 7.816
_cell_angle_alpha 87.92
_cell_angle_beta 76.92
_cell_angle_gamma 84.19
loop_
_space_group_symop_operation_xyz
'x,y,z'
'-x,-y,-z'
loop_
_atom_site_label
_atom_site_type_symbol
_atom_site_fract_x
_atom_site_fract_y
_atom_site_fract_z
_atom_site_occupancy
Tm1 Tm 0.000 0.000 0.000 1
Zr1 Zr 0.000 0.500 0.000 1
Zr2 Zr 0.196 0.114 0.391 1
Zr3 Zr 0.317 0.658 0.637 1
Zr4 Zr 0.489 0.258 0.034 1
Al1 Al 0.168 0.616 0.310 1
Al2 Al 0.358 0.177 0.707 1

[2]
# TmZr2Al6 | Alexandria via LeMat-Bulk | PBE | optimized geometry
# E_form, kJ per mole of atoms: -42.9
# Distance to the lowest polymorph of the same formula, meV/atom: 0
# Uncorrected energy, Ry/atom: -0.392
# Magnetic moment, μB per formula unit: 0.0
# V, Å³ per atom: 18.76
data_TmZr2Al6
_chemical_formula_sum 'Tm1 Zr2 Al6'
_space_group_name_H-M_alt 'P 6/m m m'
_space_group_IT_number 191
_space_group_name_Hall '-P 6 2'
_cell_length_a 7.7710
_cell_length_b 7.7710
_cell_length_c 3.2292
_cell_angle_alpha 90.00
_cell_angle_beta 90.00
_cell_angle_gamma 120.00
loop_
_atom_site_label
_atom_site_type_symbol
_atom_site_fract_x
_atom_site_fract_y
_atom_site_fract_z
_atom_site_occupancy
Tm1 Tm 0.0000 0.0000 0.0000 1
Zr1 Zr 0.3333 0.6667 0.0000 1
Al1 Al 0.0000 0.3355 0.5000 1

Question: Which value of uncorrected energy does entry 2 give?
Answer: -0.392 Ry/atom

Question: The lowest E_form belongs to which entry?
Answer: TmZr2Al6

Question: Which formula does entry 2 have?
Answer: TmZr2Al6